Material: CrSnO2
Method: DFT, GGA+U
State: optimized geometry

Values from the calculation:
As for the electronic total energy: -6.657 eV/atom. For the excess energy over the best structure of this formula in the dataset, the calculation gives 0.214 eV/atom.

```
data_CrSnO2
_space_group_name_H-M_alt 'P m n a'
_space_group_IT_number 53
_cell_length_a 3.946
_cell_length_b 6.483
_cell_length_c 10.826
_cell_angle_alpha 90.00
_cell_angle_beta 90.00
_cell_angle_gamma 90.00
loop_
_space_group_symop_operation_xyz
'x,y,z'
'-x,-y,-z'
'-x+1/2,-y,z+1/2'
'x+1/2,y,-z+1/2'
'x,-y,-z'
'-x,y,z'
'-x+1/2,y,-z+1/2'
'x+1/2,-y,z+1/2'
loop_
_atom_site_label
_atom_site_fract_x
_atom_site_fract_y
_atom_site_fract_z
_atom_site_occupancy
Cr1 0.000 0.092 0.145 1
Sn1 0.000 0.299 0.607 1
O1 0.000 0.027 0.338 1
O2 0.000 0.226 0.975 1
```